1.
Y2Co: relaxed, PBE.

Summary:
The formation energy is -0.32 eV/f.u.

Structure (extended XYZ):
```
12
Lattice="-4.181 -1.223 5.057 -1.189 -6.091 -2.456 5.065 -2.439 3.598" Properties=species:S:1:pos:R:3 pbc="T T T"
Co 1.938 -4.265 0.571
Co 0.000 0.000 0.000
Co 0.442 -1.831 4.327
Co -2.685 -3.657 1.300
Y 0.031 -6.120 -0.019
Y -3.075 -3.474 3.991
Y -0.335 -3.634 6.218
Y -0.103 -3.287 2.089
Y 2.770 -6.280 2.207
Y -2.942 -6.307 1.883
Y 2.637 -3.447 4.315
Y -0.202 -6.467 4.109
```



2.
RbPPdAu2: relaxed, PBE.

Summary:
The formation energy is 1.88 eV/f.u.

Structure (extended XYZ):
```
5
Lattice="4.674 0.000 0.000 0.000 6.331 0.000 0.000 0.000 4.674" Properties=species:S:1:pos:R:3 pbc="T T T"
P 0.000 0.000 0.000
Au 2.337 0.000 0.000
Au 0.000 0.000 2.337
Pd 2.337 3.166 2.337
Rb 0.000 3.166 0.000
```



3.
LiLuGaSi: relaxed, PBE.

Summary:
As for the uncorrected formation energy: -322 meV/atom.

Structure (extended XYZ):
```
4
Lattice="-1.840 -3.657 -2.344 1.566 -1.062 -4.321 2.570 -3.896 -0.686" Properties=species:S:1:pos:R:3 pbc="T T T"
Si 1.722 -6.461 -5.513
Ga 0.574 -2.154 -1.838
Lu 1.148 -4.307 -3.676
Li 0.000 0.000 0.000
```



4.
Ce4CdIn5: relaxed, PBE.

Summary:
The formation energy is -2.95 eV/f.u.

Structure (extended XYZ):
```
10
Lattice="-2.564 5.323 -0.024 -5.861 -0.483 -3.244 -1.645 -2.866 6.630" Properties=species:S:1:pos:R:3 pbc="T T T"
In -2.910 -0.206 0.019
In -7.160 2.180 3.344
In -2.924 -0.240 3.352
In -4.212 2.420 -1.634
In -7.146 2.213 0.010
Ce -5.833 -0.458 1.703
Ce -4.218 2.402 4.945
Ce -4.236 2.432 1.660
Ce -5.852 -0.428 -1.582
Cd -1.282 2.662 -0.012
```



5.
Tc3MoCl: relaxed, PBE.

Summary:
As for the uncorrected formation energy: 1195 meV/atom. The energy above the most stable polymorph in this dataset comes out at 0.00 eV per formula unit.

Structure (extended XYZ):
```
5
Lattice="-2.292 3.655 0.104 -3.529 -2.244 1.066 0.957 0.481 4.180" Properties=species:S:1:pos:R:3 pbc="T T T"
Tc 0.478 0.241 2.090
Tc -1.146 1.827 0.052
Tc -1.764 -1.122 0.533
Mo -2.432 0.946 2.675
Cl 0.000 0.000 0.000
```



6.
CaDy4MgS8: relaxed, PBE.

Summary:
As for the uncorrected formation energy: -1919 meV/atom.

Structure (extended XYZ):
```
14
Lattice="8.088 0.000 0.000 4.044 7.004 0.000 4.044 2.335 6.463" Properties=species:S:1:pos:R:3 pbc="T T T"
Ca 8.088 4.670 5.576
S 8.088 2.148 1.631
S 12.132 7.004 4.722
S 8.088 7.242 4.818
S 10.272 5.930 1.631
S 5.904 5.930 1.631
S 5.860 3.383 4.818
S 4.044 2.335 1.800
S 10.315 3.383 4.818
Dy 6.029 1.189 3.253
Dy 2.059 1.189 3.253
Dy 8.088 4.670 0.886
Dy 4.044 4.626 3.253
Mg 4.044 2.335 6.384
```



7.
SmUFe: relaxed, PBE.

Summary:
The formation energy is 0.29 eV/f.u. The energy above the most stable polymorph in this dataset comes out at 0.00 eV per formula unit.

Structure (extended XYZ):
```
3
Lattice="-1.461 2.127 -2.136 -2.483 0.498 2.194 4.840 2.945 2.251" Properties=species:S:1:pos:R:3 pbc="T T T"
Sm 0.014 0.021 0.011
Fe 1.643 2.439 1.305
U -0.760 3.111 0.991
```



8.
CsPmAg2Cl6: relaxed, PBE.

Summary:
As for the uncorrected formation energy: -1480 meV/atom.

Structure (extended XYZ):
```
10
Lattice="-0.648 -6.533 -3.091 5.572 -2.846 -3.673 3.850 -5.977 3.306" Properties=species:S:1:pos:R:3 pbc="T T T"
Ag 3.850 -5.976 3.303
Ag 4.251 -7.501 -2.072
Cl 3.546 -9.030 -4.267
Cl 3.601 -9.903 -0.589
Cl 6.798 -8.533 -1.156
Cl 1.965 -5.943 -2.059
Cl 5.820 -5.700 -3.466
Cl 4.415 -6.730 0.713
Pm 1.698 -3.200 -2.111
Cs 6.323 -11.183 -3.245
```



Here are the calculated size of the total moment numbers, same order: 0.00, 0.00, 0.00, 4.89, 0.00, 0.00, 0.00, 0.00 (Bohr magnetons per cell).